Material: TcWBr2
Method: DFT, PBE
State: relaxed

Values from the calculation:
Spin magnetization = 0.00 μB per atom
Energy relative to the elements, uncorrected = 1.547 eV/atom
E above lowest polymorph = 1.532 eV/atom

Cell and atoms, written as CIF:
```
data_TcWBr2
_cell_length_a 5.6910
_cell_length_b 5.6910
_cell_length_c 11.0646
_cell_angle_alpha 90.00
_cell_angle_beta 90.00
_cell_angle_gamma 90.00
_symmetry_space_group_name_H-M 'I -4 2 d'
_symmetry_Int_Tables_number 122
_symmetry_space_group_name_Hall 'I -4 2bw'
loop_
_atom_site_label
_atom_site_fract_x
_atom_site_fract_y
_atom_site_fract_z
Tc1 0.0000 0.0000 0.0000
W1 0.0000 0.0000 0.5000
Br1 0.2481 0.2500 0.1250
```

---

Material: TcWBr2
Method: DFT, PBE
State: relaxed

Values from the calculation:
Spin magnetization = 0.00 μB per atom
Energy relative to the elements, uncorrected = 1.380 eV/atom
E above lowest polymorph = 1.365 eV/atom

Cell and atoms, written as CIF:
```
data_TcWBr2
_cell_length_a 4.5585
_cell_length_b 4.5585
_cell_length_c 3.1955
_cell_angle_alpha 90.00
_cell_angle_beta 90.00
_cell_angle_gamma 90.00
_symmetry_space_group_name_H-M 'P 4/m m m'
_symmetry_Int_Tables_number 123
_symmetry_space_group_name_Hall '-P 4 2'
loop_
_atom_site_label
_atom_site_fract_x
_atom_site_fract_y
_atom_site_fract_z
Tc1 0.0000 0.0000 0.0000
W1 0.5000 0.5000 0.0000
Br1 0.0000 0.5000 0.5000
```

---

Material: Tc2WBr
Method: DFT, PBE
State: relaxed

Values from the calculation:
Spin magnetization = 0.00 μB per atom
Energy relative to the elements, uncorrected = 1.069 eV/atom
E above lowest polymorph = 0.672 eV/atom

Cell and atoms, written as CIF:
```
data_Tc2WBr
_cell_length_a 6.3222
_cell_length_b 6.3222
_cell_length_c 6.3222
_cell_angle_alpha 90.00
_cell_angle_beta 90.00
_cell_angle_gamma 90.00
_symmetry_space_group_name_H-M 'F -4 3 m'
_symmetry_Int_Tables_number 216
_symmetry_space_group_name_Hall 'F -4 2 3'
loop_
_atom_site_label
_atom_site_fract_x
_atom_site_fract_y
_atom_site_fract_z
Tc1 0.0000 0.0000 0.0000
Tc2 0.2500 0.2500 0.2500
W1 0.2500 0.2500 0.7500
Br1 0.0000 0.0000 0.5000
```

---

Material: TcWBr
Method: DFT, PBE
State: relaxed

Values from the calculation:
Spin magnetization = 0.00 μB per atom
Energy relative to the elements, uncorrected = 0.610 eV/atom
E above lowest polymorph = 0.159 eV/atom

Cell and atoms, written as CIF:
```
data_TcWBr
_cell_length_a 3.0619
_cell_length_b 3.0619
_cell_length_c 11.1195
_cell_angle_alpha 90.00
_cell_angle_beta 90.00
_cell_angle_gamma 90.00
_symmetry_space_group_name_H-M 'I 4 m m'
_symmetry_Int_Tables_number 107
_symmetry_space_group_name_Hall 'I 4 -2'
loop_
_atom_site_label
_atom_site_fract_x
_atom_site_fract_y
_atom_site_fract_z
Tc1 0.0000 0.0000 0.0000
W1 0.0000 0.0000 0.6312
Br1 0.0000 0.0000 0.3096
```

---

Material: Tc2WBr
Method: DFT, PBE
State: relaxed

Values from the calculation:
Spin magnetization = 0.00 μB per atom
Energy relative to the elements, uncorrected = 0.684 eV/atom
E above lowest polymorph = 0.288 eV/atom

Cell and atoms, written as CIF:
```
data_Tc2WBr
_cell_length_a 3.0099
_cell_length_b 3.8650
_cell_length_c 6.3789
_cell_angle_alpha 90.00
_cell_angle_beta 99.90
_cell_angle_gamma 90.00
_symmetry_space_group_name_H-M 'P 1 m 1'
_symmetry_Int_Tables_number 6
_symmetry_space_group_name_Hall 'P -2y'
loop_
_atom_site_label
_atom_site_fract_x
_atom_site_fract_y
_atom_site_fract_z
Tc1 0.0000 0.0000 0.0000
Tc2 0.4650 0.5000 0.8259
W1 0.6527 0.5000 0.2010
Br1 0.7639 0.0000 0.5746
```

---

Material: TcWBr2
Method: DFT, PBE
State: relaxed

Values from the calculation:
Spin magnetization = 0.00 μB per atom
Energy relative to the elements, uncorrected = 0.480 eV/atom
E above lowest polymorph = 0.465 eV/atom

Cell and atoms, written as CIF:
```
data_TcWBr2
_cell_length_a 15.0897
_cell_length_b 3.1707
_cell_length_c 4.1579
_cell_angle_alpha 90.00
_cell_angle_beta 95.82
_cell_angle_gamma 90.00
_symmetry_space_group_name_H-M 'C 1 2/m 1'
_symmetry_Int_Tables_number 12
_symmetry_space_group_name_Hall '-C 2y'
loop_
_atom_site_label
_atom_site_fract_x
_atom_site_fract_y
_atom_site_fract_z
Tc1 0.0000 0.0000 0.0000
W1 0.0000 0.5000 0.5000
Br1 0.1437 0.0000 0.7168
```

---

Material: TcWBr2
Method: DFT, PBE
State: relaxed

Values from the calculation:
Spin magnetization = 0.00 μB per atom
Energy relative to the elements, uncorrected = 0.339 eV/atom
E above lowest polymorph = 0.324 eV/atom

Cell and atoms, written as CIF:
```
data_TcWBr2
_cell_length_a 3.0407
_cell_length_b 3.0407
_cell_length_c 9.0070
_cell_angle_alpha 90.00
_cell_angle_beta 90.00
_cell_angle_gamma 90.00
_symmetry_space_group_name_H-M 'P 4 m m'
_symmetry_Int_Tables_number 99
_symmetry_space_group_name_Hall 'P 4 -2'
loop_
_atom_site_label
_atom_site_fract_x
_atom_site_fract_y
_atom_site_fract_z
Tc1 0.0000 0.0000 0.0000
W1 0.5000 0.5000 0.1893
Br1 0.0000 0.0000 0.3869
Br2 0.5000 0.5000 0.7993
```

---

Material: Tc2WBr
Method: DFT, PBE
State: relaxed

Values from the calculation:
Spin magnetization = 0.00 μB per atom
Energy relative to the elements, uncorrected = 0.734 eV/atom
E above lowest polymorph = 0.337 eV/atom

Cell and atoms, written as CIF:
```
data_Tc2WBr
_cell_length_a 10.0426
_cell_length_b 3.0085
_cell_length_c 4.4101
_cell_angle_alpha 90.00
_cell_angle_beta 93.30
_cell_angle_gamma 90.00
_symmetry_space_group_name_H-M 'C 1 m 1'
_symmetry_Int_Tables_number 8
_symmetry_space_group_name_Hall 'C -2y'
loop_
_atom_site_label
_atom_site_fract_x
_atom_site_fract_y
_atom_site_fract_z
Tc1 0.0000 0.0000 0.0000
Tc2 0.2248 0.5000 0.1918
W1 0.2920 0.0000 0.7647
Br1 0.0104 0.5000 0.4700
```

---

Material: Tc2WBr
Method: DFT, PBE
State: relaxed

Values from the calculation:
Spin magnetization = 0.00 μB per atom
Energy relative to the elements, uncorrected = 0.557 eV/atom
E above lowest polymorph = 0.160 eV/atom

Cell and atoms, written as CIF:
```
data_Tc2WBr
_cell_length_a 2.9217
_cell_length_b 2.9217
_cell_length_c 26.1770
_cell_angle_alpha 90.00
_cell_angle_beta 90.00
_cell_angle_gamma 120.00
_symmetry_space_group_name_H-M 'R 3 m'
_symmetry_Int_Tables_number 160
_symmetry_space_group_name_Hall 'R 3 -2"'
loop_
_atom_site_label
_atom_site_fract_x
_atom_site_fract_y
_atom_site_fract_z
Tc1 0.0000 0.0000 0.0000
Tc2 0.0000 0.0000 0.2560
W1 0.0000 0.0000 0.7521
Br1 0.0000 0.0000 0.5000
```

---

Material: TcWBr2
Method: DFT, PBE
State: relaxed

Values from the calculation:
Spin magnetization = 0.00 μB per atom
Energy relative to the elements, uncorrected = 1.378 eV/atom
E above lowest polymorph = 1.363 eV/atom

Cell and atoms, written as CIF:
```
data_TcWBr2
_cell_length_a 4.3352
_cell_length_b 4.3352
_cell_length_c 7.6403
_cell_angle_alpha 90.00
_cell_angle_beta 90.00
_cell_angle_gamma 90.00
_symmetry_space_group_name_H-M 'I -4 m 2'
_symmetry_Int_Tables_number 119
_symmetry_space_group_name_Hall 'I -4 -2'
loop_
_atom_site_label
_atom_site_fract_x
_atom_site_fract_y
_atom_site_fract_z
Tc1 0.0000 0.0000 0.0000
W1 0.0000 0.5000 0.7500
Br1 0.0000 0.0000 0.5000
Br2 0.0000 0.5000 0.2500
```

---

Material: Tc2WBr
Method: DFT, PBE
State: relaxed

Values from the calculation:
Spin magnetization = 0.00 μB per atom
Energy relative to the elements, uncorrected = 0.846 eV/atom
E above lowest polymorph = 0.449 eV/atom

Cell and atoms, written as CIF:
```
data_Tc2WBr
_cell_length_a 4.5495
_cell_length_b 4.5495
_cell_length_c 3.0517
_cell_angle_alpha 90.00
_cell_angle_beta 90.00
_cell_angle_gamma 90.00
_symmetry_space_group_name_H-M 'P 4/m m m'
_symmetry_Int_Tables_number 123
_symmetry_space_group_name_Hall '-P 4 2'
loop_
_atom_site_label
_atom_site_fract_x
_atom_site_fract_y
_atom_site_fract_z
Tc1 0.0000 0.5000 0.0000
W1 0.0000 0.0000 0.5000
Br1 0.5000 0.5000 0.5000
```

---

Material: Tc2WBr
Method: DFT, PBE
State: relaxed

Values from the calculation:
Spin magnetization = 0.00 μB per atom
Energy relative to the elements, uncorrected = 1.110 eV/atom
E above lowest polymorph = 0.713 eV/atom

Cell and atoms, written as CIF:
```
data_Tc2WBr
_cell_length_a 3.7926
_cell_length_b 3.7926
_cell_length_c 8.8763
_cell_angle_alpha 90.00
_cell_angle_beta 90.00
_cell_angle_gamma 90.00
_symmetry_space_group_name_H-M 'I -4 m 2'
_symmetry_Int_Tables_number 119
_symmetry_space_group_name_Hall 'I -4 -2'
loop_
_atom_site_label
_atom_site_fract_x
_atom_site_fract_y
_atom_site_fract_z
Tc1 0.0000 0.0000 0.0000
Tc2 0.0000 0.5000 0.2500
W1 0.0000 0.5000 0.7500
Br1 0.0000 0.0000 0.5000
```